CrSnO2: relaxed, GGA+U.

Computed properties:
**Total magnetic moment**: 0.8 μB/f.u.
**Crystal system**: tetragonal
**SG**: No. 123
**VASP energy**: -5.2813 eV/atom
**Calculated density**: 6.65 g/cm³

```
data_CrSnO2
_chemical_formula_sum 'Cr1 Sn1 O2'
_space_group_name_H-M_alt 'P 1'
_space_group_IT_number 1
_cell_length_a 4.1717
_cell_length_b 4.1717
_cell_length_c 2.9086
_cell_angle_alpha 90.00
_cell_angle_beta 90.00
_cell_angle_gamma 90.00
loop_
_space_group_symop_operation_xyz
'x,y,z'
loop_
_atom_site_label
_atom_site_fract_x
_atom_site_fract_y
_atom_site_fract_z
Cr1 0.0000 0.0000 0.0000
Sn1 0.5000 0.5000 0.0000
O1 0.0000 0.5000 0.5000
O2 0.5000 0.0000 0.5000
```